A relaxed Sm2AsPt6 crystal, computed with PBE.

Lattice parameters (Å, degrees): 5.6904 5.6726 6.2409 78.55 90.00 120.10
Closest atoms and distances in Å follow each position.
Fractional positions:
1 Sm 0.6423 0.2847 0.1463  9 Pt 3.00-3.20
2 Sm 0.3577 0.7153 0.8537  9 Pt 3.00-3.20
3 As 0.0000 0.0000 0.0000  6 Pt 2.47-2.56
4 Pt 0.8786 0.2704 0.6863  1 As 2.56, 4 Pt 2.75-2.84
5 Pt 0.8759 0.7518 0.6969  1 As 2.47, 2 Pt 2.75
6 Pt 0.3918 0.2704 0.6863  1 As 2.56, 4 Pt 2.75-2.84
7 Pt 0.1214 0.7296 0.3137  1 As 2.56, 4 Pt 2.75-2.84
8 Pt 0.1241 0.2482 0.3031  1 As 2.47, 2 Pt 2.75
9 Pt 0.6082 0.7296 0.3137  1 As 2.56, 4 Pt 2.75-2.84

As for the symmetry: C2/m (12). The calculation puts the calculated formation energy at -0.889 eV/atom. Its density of states at the Fermi level is 0.49 states/eV/atom.


A relaxed AcGe2H2Pt6 crystal, computed with PBE.

Lattice parameters (Å, degrees): 5.7016 6.4386 6.2657 109.22 90.05 63.69
Closest atoms and distances in Å follow each position.
Fractional positions:
1 Ac 0.5000 0.0000 0.5000  8 Pt 3.16-3.33, 2 H 3.47
2 Ge 0.8046 0.3906 0.7581  5 Pt 2.41-2.56
3 Ge 0.1954 0.6094 0.2419  5 Pt 2.41-2.56
4 H 0.1772 0.6441 0.7694  3 Pt 1.76-1.93
5 H 0.8228 0.3559 0.2306  3 Pt 1.76-1.93
6 Pt 0.3821 0.7547 0.9810  1 H 1.93
7 Pt 0.1371 0.2452 0.0193  1 H 1.93
8 Pt 0.0652 0.8697 0.6423  1 H 1.76
9 Pt 0.8629 0.7548 0.9807  1 H 1.93
10 Pt 0.9348 0.1303 0.3577  1 H 1.76
11 Pt 0.6179 0.2453 0.0190  1 H 1.93

As for the symmetry: P-1 (2). Its density of states at the Fermi level is 0.29 states/eV/atom.


A relaxed Nd8CoPt2 crystal, computed with PBE.

Lattice parameters (Å, degrees): 5.0180 7.0760 9.1738 97.59 105.87 90.00
Closest atoms and distances in Å follow each position.
Fractional positions:
1 Nd 0.4112 0.5510 0.8224  7 Nd 3.31-3.70, 1 Co 3.34, 2 Pt 3.65
2 Nd 0.6591 0.9716 0.3182  1 Co 2.84, 3 Pt 2.98-3.13
3 Nd 0.7940 0.6664 0.5880  3 Pt 2.90-3.09
4 Nd 0.9716 0.2179 0.9433  2 Co 3.02, 1 Pt 3.08, 1 Nd 3.37
5 Nd 0.2060 0.3336 0.4120  3 Pt 2.90-3.09
6 Nd 0.3409 0.0284 0.6818  1 Co 2.84, 3 Pt 2.98-3.13
7 Nd 0.5888 0.4490 0.1776  7 Nd 3.31-3.70, 1 Co 3.34, 2 Pt 3.65
8 Nd 0.0284 0.7821 0.0567  2 Co 3.02, 1 Pt 3.08, 1 Nd 3.37
9 Co 0.5000 0.0000 0.0000  6 Nd 2.84-3.02
10 Pt 0.7999 0.2584 0.5999  7 Nd 2.90-3.13
11 Pt 0.2001 0.7416 0.4001  7 Nd 2.90-3.13

As for the symmetry: C2/m (12). The calculation puts the calculated formation energy at -0.399 eV/atom. Its density of states at the Fermi level is 1.14 states/eV/atom. The value obtained for the energy above the most stable polymorph in this dataset is 0 meV per atom.


A relaxed Tb2CeTe crystal, computed with PBE.

Lattice parameters (Å, degrees): 3.8655 3.8655 10.2061 79.08 79.08 60.00
Closest atoms and distances in Å follow each position.
Fractional positions:
1 Tb 0.0715 0.0715 0.7855  3 Te 3.09
2 Tb 0.2621 0.2621 0.2138  3 Te 3.09
3 Ce 0.4996 0.4996 0.5011  6 Tb 3.61-3.63, 6 Ce 3.87
4 Te 0.6668 0.6668 0.9996  6 Tb 3.09

As for the symmetry: R3m (160). For the energy relative to the elements, uncorrected, the calculation gives -1.821 eV/f.u. Its density of states at the Fermi level is 1.83 states/eV/atom. The value obtained for the energy above the most stable polymorph in this dataset is 71 meV per atom.


A relaxed Cr4TcSn crystal, computed with PBE.

Lattice parameters (Å, degrees): 4.8495 4.8495 4.8495 60.00 60.00 60.00
Closest atoms and distances in Å follow each position.
Fractional positions:
1 Cr 0.6237 0.6237 0.1289  6 Cr 2.40-2.45
2 Cr 0.6237 0.1289 0.6237  6 Cr 2.40-2.45
3 Cr 0.6237 0.6237 0.6237  6 Cr 2.40-2.45
4 Cr 0.1289 0.6237 0.6237  6 Cr 2.40-2.45
5 Sn 0.2500 0.2500 0.2500  12 Cr 2.84, 4 Tc 2.97
6 Tc 0.0000 0.0000 0.0000  12 Cr 2.85, 4 Sn 2.97

As for the symmetry: F-43m (216). The calculation puts the calculated formation energy at 0.154 eV/atom. Its density of states at the Fermi level is 1.35 states/eV/atom.


A relaxed CeTaBrO4 crystal, computed with PBE.

Lattice parameters (Å, degrees): 6.6329 6.6329 6.9597 73.23 73.23 67.18
Closest atoms and distances in Å follow each position.
Fractional positions:
1 Ce 0.2400 0.2400 0.8554  4 O 2.19-2.25
2 Ce 0.7600 0.7600 0.1446  4 O 2.19-2.25
3 Ta 0.6268 0.6268 0.7636  4 O 1.86-1.90
4 Ta 0.3732 0.3732 0.2364  4 O 1.86-1.90
5 Br 0.0023 0.0023 0.2465  2 Ce 3.00-3.06
6 Br 0.9977 0.9977 0.7535  2 Ce 3.00-3.06
7 O 0.3240 0.3240 0.5200  1 Ta 1.86
8 O 0.6760 0.6760 0.4800  1 Ta 1.86
9 O 0.0888 0.4884 0.1700  1 Ta 1.88
10 O 0.5566 0.5566 0.1421  1 Ta 1.90
11 O 0.5116 0.9112 0.8300  1 Ta 1.88
12 O 0.4884 0.0888 0.1700  1 Ta 1.88
13 O 0.4434 0.4434 0.8579  1 Ta 1.90
14 O 0.9112 0.5116 0.8300  1 Ta 1.88

As for the symmetry: C2/m (12). For the energy relative to the elements, uncorrected, the calculation gives -19.250 eV/f.u.


A relaxed AcPr3Y2S6 crystal, computed with PBE.

Lattice parameters (Å, degrees): 7.0701 7.0701 7.0782 99.64 99.64 120.09
Closest atoms and distances in Å follow each position.
Fractional positions:
1 Ac 0.0000 0.0000 0.0000  6 S 2.94-2.96
2 Pr 0.1608 0.8392 0.5000  6 S 2.87-2.97
3 Pr 0.8392 0.1608 0.5000  6 S 2.87-2.97
4 Pr 0.5000 0.5000 0.5000  6 S 2.85-2.96
5 Y 0.3330 0.6670 0.0000  6 S 2.79-2.82
6 Y 0.6670 0.3330 0.0000  6 S 2.79-2.82
7 S 0.9189 0.5693 0.7565  2 Y 2.81-2.82, 3 Pr 2.87-2.97, 1 Ac 2.96
8 S 0.7291 0.7291 0.2369  2 Y 2.79, 3 Pr 2.85-2.94, 1 Ac 2.94
9 S 0.0811 0.4307 0.2435  2 Y 2.81-2.82, 3 Pr 2.87-2.97, 1 Ac 2.96
10 S 0.5693 0.9189 0.7565  2 Y 2.81-2.82, 3 Pr 2.87-2.97, 1 Ac 2.96
11 S 0.2709 0.2709 0.7631  2 Y 2.79, 3 Pr 2.85-2.94, 1 Ac 2.94
12 S 0.4307 0.0811 0.2435  2 Y 2.81-2.82, 3 Pr 2.87-2.97, 1 Ac 2.96

As for the symmetry: C2/m (12). For the energy relative to the elements, uncorrected, the calculation gives -23.958 eV/f.u. Its density of states at the Fermi level is 0.43 states/eV/atom.


A relaxed Ba2LiRuPt crystal, computed with PBE.

Lattice parameters (Å, degrees): 5.6257 4.6492 5.6257 90.00 90.00 90.00
Closest atoms and distances in Å follow each position.
Fractional positions:
1 Ru 0.0000 0.0000 0.0000  2 Li 2.32
2 Ba 0.0000 0.0000 0.5000  2 Ru 2.81
3 Ba 0.5000 0.0000 0.0000  2 Ru 2.81
4 Pt 0.5000 0.5000 0.5000  8 Ba 3.65, 4 Li 3.98
5 Li 0.0000 0.5000 0.0000  2 Ru 2.32

As for the symmetry: P4/mmm (123). The calculation puts the calculated formation energy at 0.292 eV/atom. Its density of states at the Fermi level is 0.60 states/eV/atom.


Calculated volume (computed, Å³/cell): 169.63; 191.82; 310.35; 128.87; 80.64; 264.74; 288.42; 147.14
Final energy (computed, eV/atom): -6.48; -5.62; -5.61; -5.04; -8.66; -8.36; -6.67; -3.92